Density functional theory data (PBE) for Li4Zn3Ga after structural relaxation.

a b c (Å): 2.806 4.242 11.682
angles (deg): 100.54 89.99 90.00
Element x y z (fractional)
Zn: 0.500 0.000 0.000
Zn: 0.000 0.170 0.340
Zn: 0.000 0.830 0.660
Ga: 0.000 0.500 0.000
Li: 0.500 0.399 0.796
Li: 0.500 0.601 0.204
Li: 0.499 0.717 0.433
Li: 0.501 0.283 0.567

Computed properties:
DOS(E_F)	2.7	states/eV/f.u.
energy relative to the elements	-0.047	eV/atom
total magnetic moment	0.0	Bohr magnetons per cell

---

Density functional theory data (PBE) for LiZn3Ga7 after structural relaxation.

a b c (Å): 5.212 6.851 6.851
angles (deg): 89.45 112.85 112.85
Element x y z (fractional)
Li: 0.500 0.500 0.500
Zn: 0.000 0.765 0.235
Zn: 0.500 0.000 0.000
Zn: 0.000 0.235 0.765
Ga: 0.273 0.182 0.182
Ga: 0.322 0.071 0.585
Ga: 0.678 0.415 0.929
Ga: 0.322 0.585 0.071
Ga: 0.000 0.500 0.500
Ga: 0.678 0.929 0.415
Ga: 0.727 0.818 0.818

Computed properties:
DOS(E_F)	2.7	states/eV/f.u.
energy relative to the elements	0.062	eV/atom
total magnetic moment	0.0	Bohr magnetons per cell

---

Density functional theory data (PBE) for LiZn2Ga5 after structural relaxation.

a b c (Å): 3.960 6.614 6.614
angles (deg): 68.01 72.58 72.58
Element x y z (fractional)
Li: 0.000 0.000 0.000
Zn: 0.738 0.762 0.762
Zn: 0.262 0.238 0.238
Ga: 0.000 0.500 0.500
Ga: 0.634 0.559 0.172
Ga: 0.366 0.441 0.828
Ga: 0.366 0.828 0.441
Ga: 0.634 0.172 0.559

Computed properties:
DOS(E_F)	2.1	states/eV/f.u.
energy relative to the elements	-0.027	eV/atom
total magnetic moment	0.0	Bohr magnetons per cell

---

Density functional theory data (PBE) for Li3ZnGa4 after structural relaxation.

a b c (Å): 3.421 3.996 10.169
angles (deg): 100.87 99.69 90.00
Element x y z (fractional)
Li: 0.000 0.500 0.000
Li: 0.133 0.133 0.266
Li: 0.867 0.867 0.734
Zn: 0.500 0.000 0.000
Ga: 0.407 0.406 0.814
Ga: 0.593 0.594 0.186
Ga: 0.723 0.724 0.446
Ga: 0.277 0.276 0.554

Computed properties:
DOS(E_F)	2.5	states/eV/f.u.
energy relative to the elements	-0.160	eV/atom
total magnetic moment	0.0	Bohr magnetons per cell